1.
Compound: Zr3Al2ZnCuIr2
Source: OQMD via LeMat-Bulk
Functional: PBE
Structure: optimized geometry

E_tot in eV for the cell shown: -62.0
Calculated volume in Å³ per atom: 17.25
Total magnetization in Bohr magnetons per cell: 0.01
Space-group type: No. 38

abc: 3.4648 7.1899 7.1899
angles: 119.93 90.00 90.00
Element x y z (fractional)
Al (0.5000, 0.2557, 0.0021)
Al (0.5000, 0.0021, 0.2557)
Cu (0.0000, 0.0027, 0.0027)
Ir (0.5000, 0.6661, 0.3263)
Ir (0.5000, 0.3263, 0.6661)
Zn (0.5000, 0.7446, 0.7446)
Zr (0.0000, 0.4117, 0.4117)
Zr (0.0000, 0.9953, 0.5955)
Zr (0.0000, 0.5955, 0.9953)

2.
Compound: BaNb
Source: OQMD via LeMat-Bulk
Functional: PBE
Structure: optimized geometry

E_tot in eV for the cell shown: -8.0
Calculated volume in Å³ per atom: 42.16
Total magnetization in Bohr magnetons per cell: 4.21
Space-group type: No. 225
Relative energy among the computed polymorphs in meV/atom: 712

abc: 4.9222 4.9222 4.9222
angles: 60.00 60.00 60.00
Last column: magnetic moment on the atom in μB.
Element x y z (fractional)
Ba (0.0000, 0.0000, 0.0000)  0.22
Nb (0.5000, 0.5000, 0.5000)  2.84